#i
First-principles (GGA-PBEsol) data for a relaxed structure of CsSrSe2Br, as listed in the Alexandria database.

Output
Space-group type: P4/mmm
DOS(E_F): 3.3 states/eV/f.u.
Crystal system: tetragonal

Structure (POSCAR):
```
CsSrSe2Br
1.0
5.678 0.000 0.000
0.000 5.678 0.000
0.000 0.000 6.167
Cs Sr Se Br
1 1 2 1
direct
0.000 0.000 0.000
0.500 0.500 0.500
0.000 0.500 0.000
0.500 0.000 0.000
0.000 0.000 0.500
```

---

#ii
First-principles (GGA-PBEsol) data for a relaxed structure of CsSrSe2Br, as listed in the Alexandria database.

Output
Space-group type: P4/mmm
DOS(E_F): 7.2 states/eV/f.u.
Crystal system: tetragonal

Structure (POSCAR):
```
CsSrSe2Br
1.0
-1.280 4.356 3.711
-5.392 0.356 -2.277
-1.939 -3.954 3.972
Cs Sr Se Br
1 1 2 1
direct
0.500 0.500 0.500
0.000 0.000 0.000
0.000 0.500 0.000
0.500 0.000 0.000
0.000 0.000 0.500
```

---

Going by the energies, #ii is most stable and the next is 634 meV/atom up.